# PBE NiSn2HgBi, relaxed
data_NiSn2HgBi
_cell_length_a 4.9328
_cell_length_b 4.9328
_cell_length_c 5.4688
_cell_angle_alpha 90.00
_cell_angle_beta 90.00
_cell_angle_gamma 90.00
_symmetry_space_group_name_H-M 'P 4/m m m'
_symmetry_Int_Tables_number 123
_symmetry_space_group_name_Hall '-P 4 2'
loop_
_atom_site_label
_atom_site_type_symbol
_atom_site_fract_x
_atom_site_fract_y
_atom_site_fract_z
_atom_site_occupancy
Ni1 Ni 0.0000 0.0000 0.0000 1
Sn1 Sn 0.0000 0.5000 0.0000 1
Hg1 Hg 0.5000 0.5000 0.5000 1
Bi1 Bi 0.0000 0.0000 0.5000 1
# **DOS(E_F)**: 0.399 states/eV/atom
# **Energy of formation**: 0.11 eV per atom
# **Distance to the lowest polymorph of the same formula**: 0 meV per atom
# **Total magnetization**: 0.0 μB/f.u.

# PBE LiTc2Ru, relaxed
data_LiTc2Ru
_cell_length_a 2.8292
_cell_length_b 4.4878
_cell_length_c 9.1497
_cell_angle_alpha 90.00
_cell_angle_beta 90.00
_cell_angle_gamma 90.00
_symmetry_space_group_name_H-M 'C m m 2'
_symmetry_Int_Tables_number 35
_symmetry_space_group_name_Hall 'C 2 -2'
loop_
_atom_site_label
_atom_site_type_symbol
_atom_site_fract_x
_atom_site_fract_y
_atom_site_fract_z
_atom_site_occupancy
Li1 Li 0.0000 0.0000 0.0000 1
Tc1 Tc 0.0000 0.0000 0.4955 1
Tc2 Tc 0.0000 0.5000 0.7400 1
Ru1 Ru 0.0000 0.5000 0.2500 1
# **DOS(E_F)**: 1.083 states/eV/atom
# **Energy of formation**: 0.27 eV per atom
# **Distance to the lowest polymorph of the same formula**: 105 meV per atom
# **Total magnetization**: 0.0 μB/f.u.

# PBE MnZnAs2, relaxed
data_MnZnAs2
_cell_length_a 3.1649
_cell_length_b 3.5980
_cell_length_c 12.3049
_cell_angle_alpha 90.00
_cell_angle_beta 90.00
_cell_angle_gamma 90.00
_symmetry_space_group_name_H-M 'I m m 2'
_symmetry_Int_Tables_number 44
_symmetry_space_group_name_Hall 'I 2 -2'
loop_
_atom_site_label
_atom_site_type_symbol
_atom_site_fract_x
_atom_site_fract_y
_atom_site_fract_z
_atom_site_occupancy
Mn1 Mn 0.0000 0.0000 0.0000 1
Zn1 Zn 0.0000 0.5000 0.7435 1
As1 As 0.0000 0.0000 0.5744 1
As2 As 0.0000 0.5000 0.3442 1
# **DOS(E_F)**: 0.527 states/eV/atom
# **Energy of formation**: 0.06 eV per atom
# **Total magnetization**: 2.7 μB/f.u.

# PBE Al2CoPb, relaxed
data_Al2CoPb
_cell_length_a 3.9666
_cell_length_b 3.9666
_cell_length_c 4.4851
_cell_angle_alpha 90.00
_cell_angle_beta 90.00
_cell_angle_gamma 90.00
_symmetry_space_group_name_H-M 'P 4/m m m'
_symmetry_Int_Tables_number 123
_symmetry_space_group_name_Hall '-P 4 2'
loop_
_atom_site_label
_atom_site_type_symbol
_atom_site_fract_x
_atom_site_fract_y
_atom_site_fract_z
_atom_site_occupancy
Al1 Al 0.0000 0.5000 0.0000 1
Co1 Co 0.0000 0.0000 0.5000 1
Pb1 Pb 0.5000 0.5000 0.5000 1
# **DOS(E_F)**: 0.614 states/eV/atom
# **Energy of formation**: 0.38 eV per atom
# **Total magnetization**: 1.0 μB/f.u.

# PBE InAgPdRh, relaxed
data_InAgPdRh
_cell_length_a 6.4397
_cell_length_b 6.4397
_cell_length_c 6.4397
_cell_angle_alpha 90.00
_cell_angle_beta 90.00
_cell_angle_gamma 90.00
_symmetry_space_group_name_H-M 'F -4 3 m'
_symmetry_Int_Tables_number 216
_symmetry_space_group_name_Hall 'F -4 2 3'
loop_
_atom_site_label
_atom_site_type_symbol
_atom_site_fract_x
_atom_site_fract_y
_atom_site_fract_z
_atom_site_occupancy
In1 In 0.0000 0.0000 0.0000 1
Ag1 Ag 0.0000 0.0000 0.5000 1
Pd1 Pd 0.2500 0.2500 0.2500 1
Rh1 Rh 0.2500 0.2500 0.7500 1
# **DOS(E_F)**: 0.113 states/eV/atom
# **Energy of formation**: -0.26 eV per atom
# **Total magnetization**: 0.0 μB/f.u.

# PBE HoInSn2Br8, relaxed
data_HoInSn2Br8
_cell_length_a 6.8041
_cell_length_b 7.2351
_cell_length_c 9.1832
_cell_angle_alpha 87.13
_cell_angle_beta 88.31
_cell_angle_gamma 88.49
_symmetry_space_group_name_H-M 'P -1'
_symmetry_Int_Tables_number 2
_symmetry_space_group_name_Hall '-P 1'
loop_
_atom_site_label
_atom_site_type_symbol
_atom_site_fract_x
_atom_site_fract_y
_atom_site_fract_z
_atom_site_occupancy
Ho1 Ho 0.0000 0.0000 0.0000 1
In1 In 0.0000 0.0000 0.5000 1
Sn1 Sn 0.4941 0.4895 0.7488 1
Br1 Br 0.2308 0.8357 0.7829 1
Br2 Br 0.2375 0.3166 0.9800 1
Br3 Br 0.2450 0.8512 0.2195 1
Br4 Br 0.2747 0.3600 0.5279 1
# **DOS(E_F)**: 0.000 states/eV/atom
# **Formation energy from raw total energies**: -1092 meV per atom
# **Total magnetization**: 0.0 μB/f.u.

# PBE Tl2PAu, relaxed
data_Tl2PAu
_cell_length_a 4.4191
_cell_length_b 5.5260
_cell_length_c 8.6758
_cell_angle_alpha 90.00
_cell_angle_beta 90.00
_cell_angle_gamma 90.00
_symmetry_space_group_name_H-M 'A m m 2'
_symmetry_Int_Tables_number 38
_symmetry_space_group_name_Hall 'A 2 -2'
loop_
_atom_site_label
_atom_site_type_symbol
_atom_site_fract_x
_atom_site_fract_y
_atom_site_fract_z
_atom_site_occupancy
Tl1 Tl 0.0000 0.0000 0.0000 1
Tl2 Tl 0.5000 0.0000 0.3614 1
P1 P 0.0000 0.0000 0.6186 1
Au1 Au 0.5000 0.0000 0.7342 1
# **DOS(E_F)**: 0.233 states/eV/atom
# **Energy of formation**: 0.03 eV per atom
# **Distance to the lowest polymorph of the same formula**: 64 meV per atom
# **Total magnetization**: 0.0 μB/f.u.

# PBE KIn4Ag2, relaxed
data_KIn4Ag2
_cell_length_a 7.7671
_cell_length_b 7.7671
_cell_length_c 5.8220
_cell_angle_alpha 90.00
_cell_angle_beta 90.00
_cell_angle_gamma 90.00
_symmetry_space_group_name_H-M 'I 4/m m m'
_symmetry_Int_Tables_number 139
_symmetry_space_group_name_Hall '-I 4 2'
loop_
_atom_site_label
_atom_site_type_symbol
_atom_site_fract_x
_atom_site_fract_y
_atom_site_fract_z
_atom_site_occupancy
K1 K 0.0000 0.0000 0.0000 1
In1 In 0.1968 0.1968 0.5000 1
Ag1 Ag 0.0000 0.5000 0.2500 1
# **DOS(E_F)**: 0.365 states/eV/atom
# **Energy of formation**: -0.02 eV per atom
# **Distance to the lowest polymorph of the same formula**: 47 meV per atom
# **Total magnetization**: 0.0 μB/f.u.

# PBE Ac2Zn3In4Pd, relaxed
data_Ac2Zn3In4Pd
_cell_length_a 4.6962
_cell_length_b 4.6962
_cell_length_c 11.1214
_cell_angle_alpha 90.00
_cell_angle_beta 90.00
_cell_angle_gamma 90.00
_symmetry_space_group_name_H-M 'P -4 m 2'
_symmetry_Int_Tables_number 115
_symmetry_space_group_name_Hall 'P -4 -2'
loop_
_atom_site_label
_atom_site_type_symbol
_atom_site_fract_x
_atom_site_fract_y
_atom_site_fract_z
_atom_site_occupancy
Ac1 Ac 0.0000 0.5000 0.2385 1
Zn1 Zn 0.0000 0.0000 0.0000 1
Zn2 Zn 0.0000 0.5000 0.6385 1
In1 In 0.0000 0.0000 0.5000 1
In2 In 0.0000 0.5000 0.8774 1
In3 In 0.5000 0.5000 0.5000 1
Pd1 Pd 0.5000 0.5000 0.0000 1
# **DOS(E_F)**: 0.610 states/eV/atom
# **Energy of formation**: -0.43 eV per atom
# **Total magnetization**: 0.0 μB/f.u.

# PBE HoP2Pd2, relaxed
data_HoP2Pd2
_cell_length_a 4.0978
_cell_length_b 4.0978
_cell_length_c 9.8681
_cell_angle_alpha 90.00
_cell_angle_beta 90.00
_cell_angle_gamma 90.00
_symmetry_space_group_name_H-M 'I 4/m m m'
_symmetry_Int_Tables_number 139
_symmetry_space_group_name_Hall '-I 4 2'
loop_
_atom_site_label
_atom_site_type_symbol
_atom_site_fract_x
_atom_site_fract_y
_atom_site_fract_z
_atom_site_occupancy
Ho1 Ho 0.0000 0.0000 0.0000 1
P1 P 0.0000 0.0000 0.3890 1
Pd1 Pd 0.0000 0.5000 0.2500 1
# **DOS(E_F)**: 0.293 states/eV/atom
# **Energy of formation**: -0.91 eV per atom
# **Total magnetization**: 0.0 μB/f.u.

# PBE Zr2NpAl9, relaxed
data_Zr2NpAl9
_cell_length_a 4.1451
_cell_length_b 4.1451
_cell_length_c 12.5198
_cell_angle_alpha 90.00
_cell_angle_beta 90.00
_cell_angle_gamma 90.00
_symmetry_space_group_name_H-M 'P 4/m m m'
_symmetry_Int_Tables_number 123
_symmetry_space_group_name_Hall '-P 4 2'
loop_
_atom_site_label
_atom_site_type_symbol
_atom_site_fract_x
_atom_site_fract_y
_atom_site_fract_z
_atom_site_occupancy
Zr1 Zr 0.0000 0.0000 0.1633 1
Np1 Np 0.0000 0.0000 0.5000 1
Al1 Al 0.0000 0.5000 0.0000 1
Al2 Al 0.0000 0.5000 0.3298 1
Al3 Al 0.5000 0.5000 0.1647 1
Al4 Al 0.5000 0.5000 0.5000 1
# **DOS(E_F)**: 0.856 states/eV/atom
# **Energy of formation**: -0.36 eV per atom
# **Total magnetization**: 3.6 μB/f.u.

# PBE Tm2Mg2Hg3, relaxed
data_Tm2Mg2Hg3
_cell_length_a 3.5270
_cell_length_b 27.1327
_cell_length_c 3.5872
_cell_angle_alpha 90.00
_cell_angle_beta 90.00
_cell_angle_gamma 90.00
_symmetry_space_group_name_H-M 'C m m m'
_symmetry_Int_Tables_number 65
_symmetry_space_group_name_Hall '-C 2 2'
loop_
_atom_site_label
_atom_site_type_symbol
_atom_site_fract_x
_atom_site_fract_y
_atom_site_fract_z
_atom_site_occupancy
Tm1 Tm 0.0000 0.0704 0.0000 1
Mg1 Mg 0.0000 0.2024 0.0000 1
Hg1 Hg 0.0000 0.3603 0.5000 1
Hg2 Hg 0.0000 0.5000 0.5000 1
# **DOS(E_F)**: 0.677 states/eV/atom
# **Energy of formation**: -0.29 eV per atom
# **Total magnetization**: 0.0 μB/f.u.

Which of these has the highest DOS(E_F)?
LiTc2Ru

Number 5 is which compound?
InAgPdRh

Which value of DOS(E_F) does entry 5 give?
0.113 states/eV/atom